[1]
BeAlP2, optimized geometry, DFT PBE; spin magnetization = 0.0 μB per cell
1.0
-2.4639 -0.0436 0.8190
0.1164 -2.5855 0.2125
2.6719 0.7845 8.0800
P Al Be
2 1 1
direct
0.5000 0.5000 0.2914
0.0000 0.0000 0.9297
0.0000 0.0000 0.5334
0.5000 0.5000 0.7454



[2]
BeAlPPb2, optimized geometry, DFT PBE; spin magnetization = 0.0 μB per cell
1.0
-0.9561 4.4872 -3.2399
-4.1284 0.4876 1.8937
2.2060 3.3244 3.9533
P Pb Be Al
1 2 1 1
direct
0.0000 0.0000 0.0000
0.5000 0.0000 0.0000
0.0000 0.0000 0.5000
0.5000 0.5000 0.5000
0.0000 0.5000 0.0000



Number 1: formation energy 346 meV/atom, calculated total energy -16.9 eV per cell, V 14.408 Å³ per atom. Number 2: formation energy 843 meV/atom, calculated total energy -16.1 eV per cell, V 28.822 Å³ per atom.